Entry from Alexandria: Ac4ZnIr3 after structural relaxation (GGA-PBE).

```
8
Lattice="4.222 0.000 0.000 0.000 4.505 0.000 0.000 0.000 11.554" Properties=species:S:1:pos:R:3 pbc="T T T"
Ac 0.000 0.000 0.000
Ac 0.000 2.253 3.032
Ac 2.111 0.000 5.535
Ac 2.111 2.253 8.884
Zn 0.000 0.000 7.972
Ir 0.000 2.253 6.527
Ir 2.111 0.000 2.483
Ir 2.111 2.253 0.435
```

Results
space group: Pmm2 (25)
density: 11.712 g/cm³
electronic total energy: -48.58 eV/f.u.
energy of formation: -0.5356 eV/atom